No. 1
Here is KSr2As after structural relaxation from Alexandria. Energies are from GGA-PBE.

Cell lengths 6.2293, 6.2293, 6.2293 Å; angles 128.49, 128.49, 75.84 degrees
With the nearest neighbours (Å) after each atom.
Sites, in units of the cell vectors:
1 K 0.0000 0.0000 0.0000  8 Sr 3.66, 4 As 3.83
2 Sr 0.2500 0.7500 0.5000  4 As 3.66, 4 K 3.66, 4 Sr 3.83
3 Sr 0.7500 0.2500 0.5000  4 As 3.66, 4 K 3.66, 4 Sr 3.83
4 As 0.5000 0.5000 0.0000  8 Sr 3.66, 4 K 3.83

Calculated values
M_tot: 0.0 μB/f.u.

***

No. 2
Here is Gd2HfAu after structural relaxation from Alexandria. Energies are from GGA-PBE.

Cell lengths 3.4493, 3.4493, 8.5453 Å; angles 90.00, 90.00, 90.00 degrees
With the nearest neighbours (Å) after each atom.
Sites, in units of the cell vectors:
1 Gd 0.0000 0.0000 0.2317  4 Au 3.14, 4 Hf 3.35, 4 Gd 3.45
2 Gd 0.0000 0.0000 0.7683  4 Au 3.14, 4 Hf 3.35, 4 Gd 3.45
3 Hf 0.5000 0.5000 0.5000  8 Gd 3.35, 4 Hf 3.45
4 Au 0.5000 0.5000 0.0000  8 Gd 3.14, 4 Au 3.45

Calculated values
M_tot: 14.4 μB/f.u.

***

No. 3
Here is CsCr2CuPb after structural relaxation from Alexandria. Energies are from GGA-PBE.

Cell lengths 5.8441, 5.8441, 6.4010 Å; angles 90.00, 90.00, 90.00 degrees
With the nearest neighbours (Å) after each atom.
Sites, in units of the cell vectors:
1 Cs 0.0000 0.0000 0.0000  4 Cr 2.92, 2 Pb 3.20
2 Cr 0.0000 0.5000 0.0000  2 Cs 2.92
3 Cr 0.5000 0.0000 0.0000  2 Cs 2.92
4 Cu 0.5000 0.5000 0.5000  4 Pb 4.13, 8 Cr 4.33
5 Pb 0.0000 0.0000 0.5000  2 Cs 3.20

Calculated values
M_tot: 10.2 μB/f.u.

***

Theoretical density across the listed records, respectively: 3.3, 11.3, 3.9 g/cm3.
Energy of formation across the listed records, respectively: -0.173, -0.302, 2.321 eV per atom.